(1)
A plane-wave DFT calculation with PBE was carried out for crystalline CuSb2AuS4 at its relaxed geometry.

Results
Total energy (eV/atom): -4.11
ΔE_f (raw) (eV per atom): -0.0990
Space-group type: No. 42

Cell: 6.625 6.625 5.962 Å, 113.18 113.18 106.95°
Sites, in units of the cell vectors:
S (0.150, 0.150, 0.719)
S (0.827, 0.401, 0.228)
S (0.401, 0.827, 0.228)
S (0.569, 0.569, 0.719)
Cu (0.543, 0.543, 0.085)
Au (0.905, 0.905, 0.810)
Sb (0.803, 0.303, 0.606)
Sb (0.303, 0.803, 0.606)

(2)
A plane-wave DFT calculation with PBE was carried out for crystalline ReRh2N at its relaxed geometry.

Results
Total energy (eV/atom): -8.04
ΔE_f (raw) (eV per atom): 0.8333
Space-group type: No. 122

Cell: 5.048 5.048 6.187 Å, 65.93 65.93 90.00°
Sites, in units of the cell vectors:
Re (0.000, 0.000, 0.000)
Re (0.750, 0.250, 0.500)
Rh (0.198, 0.625, 0.250)
Rh (0.875, 0.802, 0.750)
Rh (0.375, 0.448, 0.750)
Rh (0.552, 0.125, 0.250)
N (0.250, 0.750, 0.500)
N (0.500, 0.500, 0.000)

(3)
A plane-wave DFT calculation with PBE was carried out for crystalline Cs2PrNp2Se6 at its relaxed geometry.

Results
Total energy (eV/atom): -6.25
ΔE_f (raw) (eV per atom): -1.4065
Space-group type: No. 12

Cell: 7.403 7.403 8.895 Å, 97.71 97.71 120.26°
Last column: magnetic moment on the atom in μB.
Sites, in units of the cell vectors:
Np (0.666, 0.334, 0.500)  3.66
Np (0.334, 0.666, 0.500)  3.66
Se (0.713, 0.713, 0.683)  -0.08
Se (0.287, 0.287, 0.317)  -0.08
Se (0.058, 0.405, 0.682)  -0.08
Se (0.595, 0.942, 0.318)  -0.08
Se (0.942, 0.595, 0.318)  -0.08
Se (0.405, 0.058, 0.682)  -0.08
Pr (0.000, 0.000, 0.500)  0.02
Cs (0.164, 0.836, 0.000)  0.00
Cs (0.836, 0.164, 0.000)  0.00

(4)
A plane-wave DFT calculation with PBE was carried out for crystalline PO at its relaxed geometry.

Results
Energy above the most stable polymorph in this dataset (kJ per mole of atoms): 1.9
Total energy (eV/atom): -6.24
ΔE_f (raw) (eV per atom): -1.0517
Space-group type: No. 1

Cell: 4.146 4.145 4.838 Å, 112.03 99.43 111.52°
Sites, in units of the cell vectors:
P (0.901, 0.282, 0.817)
P (0.315, 0.193, 0.144)
O (0.058, 0.751, 0.093)
O (0.510, 0.076, 0.868)

(5)
A plane-wave DFT calculation with PBE was carried out for crystalline HPd2Au2 at its relaxed geometry.

Results
Energy above the most stable polymorph in this dataset (kJ per mole of atoms): 8.5
Total energy (eV/atom): -4.01
Space-group type: No. 127

Cell: 5.411 5.411 5.003 Å, 90.00 90.00 90.00°
Sites, in units of the cell vectors:
Au (0.676, 0.824, 0.500)
Au (0.824, 0.324, 0.500)
Au (0.176, 0.676, 0.500)
Au (0.324, 0.176, 0.500)
Pd (0.179, 0.321, 0.000)
Pd (0.679, 0.179, 0.000)
Pd (0.821, 0.679, 0.000)
Pd (0.321, 0.821, 0.000)
H (0.500, 0.500, 0.000)
H (0.000, 0.000, 0.000)

(6)
A plane-wave DFT calculation with PBE was carried out for crystalline Li2PrHo at its relaxed geometry.

Results
Energy above the most stable polymorph in this dataset (kJ per mole of atoms): 0.0
Total energy (eV/atom): -3.15
Space-group type: No. 123

Cell: 3.756 3.756 7.599 Å, 90.00 90.00 90.00°
Sites, in units of the cell vectors:
Li (0.000, 0.000, 0.758)
Li (0.000, 0.000, 0.242)
Pr (0.500, 0.500, 0.500)
Ho (0.500, 0.500, 0.000)

(7)
A plane-wave DFT calculation with PBE was carried out for crystalline DySc2In3 at its relaxed geometry.

Results
Total energy (eV/atom): -4.68
Space-group type: No. 123

Cell: 3.590 3.590 11.096 Å, 90.00 90.00 90.00°
Sites, in units of the cell vectors:
In (0.000, 0.000, 0.000)
In (0.000, 0.000, 0.683)
In (0.000, 0.000, 0.317)
Sc (0.500, 0.500, 0.159)
Sc (0.500, 0.500, 0.841)
Dy (0.500, 0.500, 0.500)

(8)
A plane-wave DFT calculation with PBE was carried out for crystalline SmMg2Co9 at its relaxed geometry.

Results
Total energy (eV/atom): -6.04
Space-group type: No. 166

Cell: 4.914 4.914 8.349 Å, 72.89 72.89 60.00°
Last column: magnetic moment on the atom in μB.
Sites, in units of the cell vectors:
Co (0.411, 0.411, 0.255)  1.51
Co (0.664, 0.664, 0.009)  1.54
Co (0.500, 0.500, 0.500)  1.50
Co (0.336, 0.336, 0.991)  1.54
Co (0.411, 0.923, 0.255)  1.51
Co (0.923, 0.411, 0.255)  1.51
Co (0.589, 0.077, 0.745)  1.51
Co (0.589, 0.589, 0.745)  1.51
Co (0.077, 0.589, 0.745)  1.51
Sm (0.000, 0.000, 0.000)  -0.22
Mg (0.856, 0.856, 0.431)  -0.03
Mg (0.144, 0.144, 0.569)  -0.03

(9)
A plane-wave DFT calculation with PBE was carried out for crystalline La8TcOs3Br4 at its relaxed geometry.

Results
Total energy (eV/atom): -6.37
ΔE_f (raw) (eV per atom): -0.7336
Space-group type: No. 166

Cell: 8.435 9.194 8.436 Å, 117.34 120.00 90.00°
Sites, in units of the cell vectors:
La (0.769, 0.305, 0.036)
La (0.231, 0.695, 0.462)
La (0.231, 0.695, 0.964)
La (0.769, 0.305, 0.538)
La (0.731, 0.693, 0.462)
La (0.269, 0.307, 0.538)
La (0.266, 0.305, 0.036)
La (0.734, 0.695, 0.964)
Br (0.500, 0.000, 0.500)
Br (0.500, 0.000, 0.000)
Br (0.000, 0.000, 0.000)
Br (0.000, 0.000, 0.500)
Os (0.500, 0.500, 0.500)
Os (0.500, 0.500, 0.000)
Os (0.000, 0.500, 0.500)
Tc (0.000, 0.500, 0.000)

(10)
A plane-wave DFT calculation with PBE was carried out for crystalline ErTlZnCl6 at its relaxed geometry.

Results
Total energy (eV/atom): -3.75
ΔE_f (raw) (eV per atom): -1.6124
Space-group type: No. 163

Cell: 6.699 6.699 14.218 Å, 90.00 90.00 120.00°
Sites, in units of the cell vectors:
Cl (0.633, 0.619, 0.647)
Cl (0.381, 0.014, 0.647)
Cl (0.014, 0.381, 0.147)
Cl (0.619, 0.986, 0.353)
Cl (0.619, 0.633, 0.147)
Cl (0.367, 0.986, 0.147)
Cl (0.367, 0.381, 0.353)
Cl (0.633, 0.014, 0.853)
Cl (0.381, 0.367, 0.853)
Cl (0.014, 0.633, 0.353)
Cl (0.986, 0.367, 0.647)
Cl (0.986, 0.619, 0.853)
Tl (0.000, 0.000, 0.000)
Tl (0.000, 0.000, 0.500)
Zn (0.333, 0.667, 0.250)
Zn (0.667, 0.333, 0.750)
Er (0.333, 0.667, 0.750)
Er (0.667, 0.333, 0.250)

(11)
A plane-wave DFT calculation with PBE was carried out for crystalline DyTeClO4 at its relaxed geometry.

Results
Total energy (eV/atom): -5.97
ΔE_f (raw) (eV per atom): -1.7666
Space-group type: No. 12

Cell: 6.304 6.304 6.988 Å, 77.15 77.15 70.38°
Sites, in units of the cell vectors:
O (0.544, 0.544, 0.235)
O (0.119, 0.490, 0.136)
O (0.456, 0.456, 0.765)
O (0.267, 0.267, 0.538)
O (0.733, 0.733, 0.462)
O (0.881, 0.510, 0.864)
O (0.490, 0.119, 0.136)
O (0.510, 0.881, 0.864)
Cl (0.016, 0.016, 0.226)
Cl (0.984, 0.984, 0.774)
Dy (0.222, 0.222, 0.884)
Dy (0.778, 0.778, 0.116)
Te (0.638, 0.638, 0.723)
Te (0.362, 0.362, 0.277)

(12)
A plane-wave DFT calculation with PBE was carried out for crystalline VNiGe2 at its relaxed geometry.

Results
Total energy (eV/atom): -5.93
Space-group type: No. 166

Cell: 2.819 2.819 8.912 Å, 80.90 80.90 60.00°
Sites, in units of the cell vectors:
V (0.500, 0.500, 0.500)
Ge (0.088, 0.088, 0.737)
Ge (0.912, 0.912, 0.263)
Ni (0.000, 0.000, 0.000)